No. 1
Below is a geometry-optimized MnCrRu2 structure, with properties calculated at the PBE level.

The value obtained for the density of states at the Fermi level is 4.95 states/eV/f.u. The value obtained for the spin magnetization is 0.91 μB per cell. The final energy comes out at -9.22 eV per atom.

abc: 4.5126 4.5126 4.6228
angles: 79.81 79.81 34.49
With the nearest neighbours (Å) after each atom.
Positions (direct):
Mn 0.2500 0.2500 0.2500  6 Ru 2.61-2.63, 4 Cr 2.67, 2 Mn 2.68
Ru 0.0023 0.0023 0.9987  3 Cr 2.60-2.64, 3 Mn 2.61-2.63, 6 Ru 2.67-2.68
Ru 0.4977 0.4977 0.5013  3 Cr 2.60-2.64, 3 Mn 2.61-2.63, 6 Ru 2.67-2.68
Cr 0.7500 0.7500 0.7500  6 Ru 2.60-2.64, 4 Mn 2.67, 2 Cr 2.68

---

No. 2
Below is a geometry-optimized TbDy3Ho2S6 structure, with properties calculated at the PBE level.

The value obtained for the density of states at the Fermi level is 4.78 states/eV/f.u. The uncorrected formation energy comes out at -1.99 eV per atom. The value obtained for the spin magnetization is 0.00 μB per cell. The final energy comes out at -6.36 eV per atom.

abc: 6.7632 6.7632 6.7558
angles: 99.57 99.57 120.22
With the nearest neighbours (Å) after each atom.
Positions (direct):
S 0.9168 0.5810 0.7504  2 Ho 2.75, 3 Dy 2.76-2.77, 1 Tb 2.77
S 0.2529 0.2529 0.7512  3 Dy 2.75-2.76, 2 Ho 2.75, 1 Tb 2.76
S 0.5810 0.9168 0.7504  2 Ho 2.75, 3 Dy 2.76-2.77, 1 Tb 2.77
S 0.7471 0.7471 0.2488  3 Dy 2.75-2.76, 2 Ho 2.75, 1 Tb 2.76
S 0.4190 0.0832 0.2496  2 Ho 2.75, 3 Dy 2.76-2.77, 1 Tb 2.77
S 0.0832 0.4190 0.2496  2 Ho 2.75, 3 Dy 2.76-2.77, 1 Tb 2.77
Ho 0.6665 0.3335 0.0000  6 S 2.75
Ho 0.3335 0.6665 0.0000  6 S 2.75
Dy 0.1654 0.8346 0.5000  6 S 2.76
Dy 0.5000 0.5000 0.5000  6 S 2.75-2.77
Dy 0.8346 0.1654 0.5000  6 S 2.76
Tb 0.0000 0.0000 0.0000  6 S 2.76-2.77

---

No. 3
Below is a geometry-optimized MgSnRh2 structure, with properties calculated at the PBE level.

The value obtained for the density of states at the Fermi level is 0.83 states/eV/f.u. The value obtained for the spin magnetization is 0.00 μB per cell. The final energy comes out at -5.14 eV per atom.

abc: 7.0186 7.0186 5.7792
angles: 52.61 52.61 90.00
With the nearest neighbours (Å) after each atom.
Positions (direct):
Rh 0.1213 0.6250 0.2500  2 Sn 2.57, 2 Mg 2.61
Rh 0.3750 0.3713 0.7500  2 Sn 2.57, 2 Mg 2.61
Rh 0.8750 0.8787 0.7500  2 Sn 2.57, 2 Mg 2.61
Rh 0.6287 0.1250 0.2500  2 Sn 2.57, 2 Mg 2.61
Mg 0.5000 0.5000 0.0000  4 Rh 2.61
Mg 0.2500 0.7500 0.5000  4 Rh 2.61
Sn 0.0000 0.0000 0.0000  4 Rh 2.57
Sn 0.7500 0.2500 0.5000  4 Rh 2.57

---

No. 4
Below is a geometry-optimized Pr8Ag2Ru structure, with properties calculated at the PBE level.

The value obtained for the density of states at the Fermi level is 12.71 states/eV/f.u. The value obtained for the spin magnetization is 0.00 μB per cell. The final energy comes out at -4.94 eV per atom.

abc: 5.2990 7.1707 9.4201
angles: 102.37 106.34 90.00
With the nearest neighbours (Å) after each atom.
Positions (direct):
Pr 0.9770 0.2139 0.9540  1 Ag 3.09, 2 Ru 3.14, 1 Pr 3.35
Pr 0.2029 0.3174 0.4058  3 Ag 3.04-3.37
Pr 0.0230 0.7861 0.0460  1 Ag 3.09, 2 Ru 3.14, 1 Pr 3.35
Pr 0.7971 0.6826 0.5942  3 Ag 3.04-3.37
Pr 0.6555 0.9724 0.3110  1 Ru 2.86, 1 Ag 3.14
Pr 0.5888 0.4422 0.1776  1 Ru 3.22, 5 Pr 3.49-3.59, 2 Ag 3.59
Pr 0.3445 0.0276 0.6890  1 Ru 2.86, 1 Ag 3.14
Pr 0.4112 0.5578 0.8224  1 Ru 3.22, 5 Pr 3.49-3.59, 2 Ag 3.59
Ru 0.5000 0.0000 0.0000  6 Pr 2.86-3.14
Ag 0.8121 0.2691 0.6242  7 Pr 3.04-3.37
Ag 0.1879 0.7309 0.3758  7 Pr 3.04-3.37

---

No. 5
Below is a geometry-optimized DyHo2Bi2 structure, with properties calculated at the PBE level.

The value obtained for the density of states at the Fermi level is 4.00 states/eV/f.u. The value obtained for the spin magnetization is 0.00 μB per cell. The final energy comes out at -4.67 eV per atom.

abc: 4.8378 4.8378 8.9967
angles: 119.13 119.13 78.35
With the nearest neighbours (Å) after each atom.
Positions (direct):
Ho 0.7488 0.2512 0.5000  2 Ho 3.04-3.07, 4 Bi 3.17-3.18
Ho 0.2512 0.7488 0.5000  2 Ho 3.04-3.07, 4 Bi 3.17-3.18
Dy 0.0000 0.0000 0.0000  6 Bi 3.17-3.51
Bi 0.4687 0.4687 0.7939  4 Ho 3.17-3.18, 3 Dy 3.17-3.51, 1 Bi 3.43
Bi 0.5313 0.5313 0.2061  4 Ho 3.17-3.18, 3 Dy 3.17-3.51, 1 Bi 3.43

---

No. 6
Below is a geometry-optimized HgTeBr2 structure, with properties calculated at the PBE level.

The value obtained for the density of states at the Fermi level is 3.40 states/eV/f.u. The uncorrected formation energy comes out at 0.16 eV per atom. The value obtained for the spin magnetization is 0.00 μB per cell. The final energy comes out at -1.53 eV per atom.

abc: 3.4369 3.4369 11.3741
angles: 90.00 90.00 90.00
With the nearest neighbours (Å) after each atom.
Positions (direct):
Te 0.5000 0.5000 0.7500  4 Te 3.44
Hg 0.5000 0.5000 0.2500  8 Br 3.01
Br 0.0000 0.0000 0.4061  4 Hg 3.01
Br 0.0000 0.0000 0.0939  4 Hg 3.01

---

No. 7
Below is a geometry-optimized LiFeSiNi2 structure, with properties calculated at the PBE level.

The value obtained for the density of states at the Fermi level is 6.23 states/eV/f.u. The uncorrected formation energy comes out at 0.36 eV per atom. The value obtained for the spin magnetization is 2.36 μB per cell. The final energy comes out at -5.12 eV per atom.

abc: 4.2470 4.3082 4.2470
angles: 90.00 90.00 90.00
With the nearest neighbours (Å) after each atom.
Positions (direct):
Si 0.0000 0.0000 0.0000  4 Ni 2.12, 2 Fe 2.15
Ni 0.5000 0.0000 0.0000  2 Si 2.12
Ni 0.0000 0.0000 0.5000  2 Si 2.12
Li 0.5000 0.5000 0.5000  4 Fe 3.00, 8 Ni 3.02
Fe 0.0000 0.5000 0.0000  2 Si 2.15

---

No. 8
Below is a geometry-optimized NdAs2Pd7Pb2 structure, with properties calculated at the PBE level.

The value obtained for the density of states at the Fermi level is 5.48 states/eV/f.u. The value obtained for the spin magnetization is 0.00 μB per cell. The final energy comes out at -5.24 eV per atom.

abc: 4.1142 4.1142 14.5455
angles: 85.27 85.27 89.95
With the nearest neighbours (Å) after each atom.
Positions (direct):
Pd 0.3902 0.3902 0.4207  1 As 2.47, 1 Pd 2.76
Pd 0.0465 0.5457 0.8478  2 As 2.49
Pd 0.5000 0.5000 0.0000  4 Nd 2.91, 8 Pd 3.00-3.02
Pd 0.6098 0.6098 0.5793  1 As 2.47, 1 Pd 2.76
Pd 0.9535 0.4543 0.1522  2 As 2.49
Pd 0.5457 0.0465 0.8478  2 As 2.49
Pd 0.4543 0.9535 0.1522  2 As 2.49
Pb 0.8868 0.8868 0.3930  5 Pd 2.87-3.00
Pb 0.1132 0.1132 0.6070  5 Pd 2.87-3.00
As 0.4258 0.4258 0.2496  5 Pd 2.47-2.49
As 0.5742 0.5742 0.7504  5 Pd 2.47-2.49
Nd 0.0000 0.0000 0.0000  12 Pd 2.91-3.01

---

No. 9
Below is a geometry-optimized CsY3F structure, with properties calculated at the PBE level.

The value obtained for the density of states at the Fermi level is 4.94 states/eV/f.u. The uncorrected formation energy comes out at -0.30 eV per atom. The value obtained for the spin magnetization is 0.00 μB per cell. The final energy comes out at -4.72 eV per atom.

abc: 5.3152 5.3152 5.3152
angles: 90.00 90.00 90.00
With the nearest neighbours (Å) after each atom.
Positions (direct):
Y 0.0000 0.5000 0.0000  2 F 2.66
Y 0.0000 0.0000 0.5000  2 F 2.66
Y 0.5000 0.0000 0.0000  2 F 2.66
Cs 0.5000 0.5000 0.5000  12 Y 3.76
F 0.0000 0.0000 0.0000  6 Y 2.66

---

No. 10
Below is a geometry-optimized KTiSiF2 structure, with properties calculated at the PBE level.

The value obtained for the density of states at the Fermi level is 2.37 states/eV/f.u. The uncorrected formation energy comes out at -0.54 eV per atom. The value obtained for the spin magnetization is 3.10 μB per cell. The final energy comes out at -4.17 eV per atom.

abc: 4.5256 5.2525 4.5256
angles: 90.00 90.00 90.00
With the nearest neighbours (Å) after each atom.
Positions (direct):
Si 0.0000 0.0000 0.0000  4 F 2.26
Ti 0.0000 0.5000 0.0000  2 Si 2.63
F 0.0000 0.0000 0.5000  2 Si 2.26
F 0.5000 0.0000 0.0000  2 Si 2.26
K 0.5000 0.5000 0.5000  4 Ti 3.20, 8 F 3.47

---

No. 11
Below is a geometry-optimized ZnFe2Rh structure, with properties calculated at the PBE level.

The value obtained for the density of states at the Fermi level is 2.76 states/eV/f.u. The value obtained for the spin magnetization is 5.97 μB per cell. The final energy comes out at -6.44 eV per atom.

abc: 4.9004 4.9004 4.9004
angles: 144.87 128.53 63.85
With the nearest neighbours (Å) after each atom.
Positions (direct):
Fe 0.9908 0.9908 0.0000  2 Fe 2.42, 2 Zn 2.57, 4 Rh 2.59
Fe 0.7605 0.2605 0.5000  2 Fe 2.42, 2 Rh 2.59, 4 Zn 2.60
Rh 0.5053 0.5053 0.0000  6 Fe 2.59, 2 Zn 2.63
Zn 0.2434 0.7434 0.5000  6 Fe 2.57-2.60, 2 Rh 2.63

---

no.,ρ (g cm⁻³)
1,9.80
2,7.71
3,7.94
4,7.16
5,9.42
6,6.03
7,4.45
8,9.87
9,4.63
10,2.36
11,8.88